Material: CdTe5
Method: DFT, PBE
State: optimized geometry

```
data_CdTe5
_symmetry_space_group_name_H-M 'P 1'
_symmetry_Int_Tables_number 1
_cell_length_a 8.046
_cell_length_b 8.046
_cell_length_c 4.096
_cell_angle_alpha 90.00
_cell_angle_beta 90.00
_cell_angle_gamma 120.00
loop_
_symmetry_equiv_pos_as_xyz
'x,y,z'
loop_
_atom_site_label
_atom_site_type_symbol
_atom_site_fract_x
_atom_site_fract_y
_atom_site_fract_z
_atom_site_occupancy
Cd1 Cd 0.000 0.000 0.000 1
Te1 Te 0.333 0.667 0.000 1
Te2 Te 0.667 0.333 0.000 1
Te3 Te 0.500 0.000 0.500 1
Te4 Te 0.000 0.500 0.500 1
Te5 Te 0.500 0.500 0.500 1
```

=====

Material: Cd2Te
Method: DFT, PBE
State: optimized geometry

```
data_Cd2Te
_symmetry_space_group_name_H-M 'P 1'
_symmetry_Int_Tables_number 1
_cell_length_a 4.372
_cell_length_b 4.372
_cell_length_c 4.563
_cell_angle_alpha 90.00
_cell_angle_beta 90.00
_cell_angle_gamma 90.00
loop_
_symmetry_equiv_pos_as_xyz
'x,y,z'
loop_
_atom_site_label
_atom_site_type_symbol
_atom_site_fract_x
_atom_site_fract_y
_atom_site_fract_z
_atom_site_occupancy
Te1 Te 0.000 0.000 0.000 1
Cd1 Cd 0.000 0.500 0.500 1
Cd2 Cd 0.500 0.000 0.500 1
```

=====

Material: CdTe4
Method: DFT, PBE
State: optimized geometry

```
data_CdTe4
_symmetry_space_group_name_H-M 'P 1'
_symmetry_Int_Tables_number 1
_cell_length_a 10.262
_cell_length_b 10.262
_cell_length_c 10.262
_cell_angle_alpha 156.39
_cell_angle_beta 156.39
_cell_angle_gamma 33.64
loop_
_symmetry_equiv_pos_as_xyz
'x,y,z'
loop_
_atom_site_label
_atom_site_type_symbol
_atom_site_fract_x
_atom_site_fract_y
_atom_site_fract_z
_atom_site_occupancy
Cd1 Cd 0.000 0.000 0.000 1
Te1 Te 0.750 0.250 0.500 1
Te2 Te 0.250 0.750 0.500 1
Te3 Te 0.572 0.572 0.000 1
Te4 Te 0.428 0.428 0.000 1
```

=====

Material: Cd3Te
Method: DFT, PBE
State: optimized geometry

```
data_Cd3Te
_symmetry_space_group_name_H-M 'P 1'
_symmetry_Int_Tables_number 1
_cell_length_a 5.315
_cell_length_b 5.315
_cell_length_c 5.315
_cell_angle_alpha 60.00
_cell_angle_beta 60.00
_cell_angle_gamma 60.00
loop_
_symmetry_equiv_pos_as_xyz
'x,y,z'
loop_
_atom_site_label
_atom_site_type_symbol
_atom_site_fract_x
_atom_site_fract_y
_atom_site_fract_z
_atom_site_occupancy
Te1 Te 0.750 0.750 0.750 1
Cd1 Cd 0.000 0.000 0.000 1
Cd2 Cd 0.250 0.250 0.250 1
Cd3 Cd 0.500 0.500 0.500 1
```

=====

Material: Cd3Te
Method: DFT, PBE
State: optimized geometry

```
data_Cd3Te
_symmetry_space_group_name_H-M 'P 1'
_symmetry_Int_Tables_number 1
_cell_length_a 5.986
_cell_length_b 5.986
_cell_length_c 5.986
_cell_angle_alpha 90.00
_cell_angle_beta 90.00
_cell_angle_gamma 90.00
loop_
_symmetry_equiv_pos_as_xyz
'x,y,z'
loop_
_atom_site_label
_atom_site_type_symbol
_atom_site_fract_x
_atom_site_fract_y
_atom_site_fract_z
_atom_site_occupancy
Cd1 Cd 0.750 0.500 0.000 1
Cd2 Cd 0.250 0.500 0.000 1
Cd3 Cd 0.000 0.750 0.500 1
Cd4 Cd 0.000 0.250 0.500 1
Cd5 Cd 0.500 0.000 0.250 1
Cd6 Cd 0.500 0.000 0.750 1
Te1 Te 0.000 0.000 0.000 1
Te2 Te 0.500 0.500 0.500 1
```

=====

Material: Cd3Te
Method: DFT, PBE
State: optimized geometry

```
data_Cd3Te
_symmetry_space_group_name_H-M 'P 1'
_symmetry_Int_Tables_number 1
_cell_length_a 3.190
_cell_length_b 3.190
_cell_length_c 11.560
_cell_angle_alpha 90.00
_cell_angle_beta 90.00
_cell_angle_gamma 120.00
loop_
_symmetry_equiv_pos_as_xyz
'x,y,z'
loop_
_atom_site_label
_atom_site_type_symbol
_atom_site_fract_x
_atom_site_fract_y
_atom_site_fract_z
_atom_site_occupancy
Te1 Te 0.667 0.333 0.750 1
Cd1 Cd 0.000 0.000 0.018 1
Cd2 Cd 0.000 0.000 0.482 1
Cd3 Cd 0.667 0.333 0.250 1
```

=====

Number 1: total energy -15.04 eV per cell. Number 2: total energy -5.04 eV per cell. Number 3: total energy -12.83 eV per cell. Number 4: total energy -5.61 eV per cell. Number 5: total energy -10.95 eV per cell. Number 6: total energy -5.44 eV per cell.